(1)
VASP calculation (PBE) on LiSmSc4O8 after structural relaxation.

Unit cell a=6.4082 b=6.4082 c=6.3401 alpha=59.64 beta=59.64 gamma=60.00
Atoms (fractional coordinates):
Li1 0.0073 0.0073 0.9781
Sm1 0.3821 0.3821 0.8537
Sc1 0.6210 0.6210 0.1371
Sc2 0.0014 0.4972 0.5000
Sc3 0.4972 0.0014 0.5000
Sc4 0.0014 0.0014 0.5000
O1 0.2384 0.7995 0.7237
O2 0.7995 0.2384 0.7237
O3 0.2384 0.2384 0.7237
O4 0.2378 0.2378 0.2867
O5 0.7417 0.2354 0.2811
O6 0.2354 0.7417 0.2811
O7 0.7417 0.7417 0.2811
O8 0.7567 0.7567 0.7300

- Formation energy (no corrections): -3.280 eV/atom

---

(2)
VASP calculation (PBE) on SrLiSc2O4 after structural relaxation.

Unit cell a=3.2722 b=5.6070 c=10.8738 alpha=90.00 beta=90.00 gamma=106.97
Atoms (fractional coordinates):
Sr1 0.1079 0.2158 0.7500
Sr2 0.8921 0.7842 0.2500
Li1 0.8359 0.6718 0.7500
Li2 0.1641 0.3282 0.2500
Sc1 0.3709 0.7419 0.5519
Sc2 0.6291 0.2581 0.0519
Sc3 0.6291 0.2581 0.4481
Sc4 0.3709 0.7419 0.9481
O1 0.2651 0.5303 0.1102
O2 0.7349 0.4697 0.6102
O3 0.7349 0.4697 0.8898
O4 0.2651 0.5303 0.3898
O5 0.0000 0.0000 0.5000
O6 0.0000 0.0000 0.0000
O7 0.4264 0.8529 0.7500
O8 0.5736 0.1471 0.2500

- Formation energy (no corrections): -2.884 eV/atom

---

(3)
VASP calculation (PBE) on SrLiScO3 after structural relaxation.

Unit cell a=3.3020 b=5.7165 c=8.1732 alpha=90.00 beta=90.00 gamma=106.79
Atoms (fractional coordinates):
Sr1 0.7396 0.4791 0.7500
Sr2 0.2604 0.5209 0.2500
Li1 0.4716 0.9431 0.7500
Li2 0.5284 0.0569 0.2500
Sc1 0.0000 0.0000 0.5000
Sc2 0.0000 0.0000 0.0000
O1 0.6216 0.2432 0.4400
O2 0.3784 0.7568 0.5600
O3 0.3784 0.7568 0.9400
O4 0.6216 0.2432 0.0600
O5 0.0610 0.1221 0.7500
O6 0.9390 0.8779 0.2500

- Formation energy (no corrections): -2.849 eV/atom

---

(4)
VASP calculation (PBE) on LiScTa2O after structural relaxation.

Unit cell a=4.2547 b=4.3353 c=4.2547 alpha=90.00 beta=90.00 gamma=90.00
Atoms (fractional coordinates):
Sc1 0.5000 0.5000 0.5000
Li1 0.0000 0.5000 0.0000
O1 0.0000 0.0000 0.0000
Ta1 0.0000 0.0000 0.5000
Ta2 0.5000 0.0000 0.0000

- Formation energy (no corrections): -0.578 eV/atom